[1]
Density functional theory data (PBE) for crystalline Sm4CuSeS2 at its relaxed geometry.

Properties
**ΔE_f (raw)**: -1.49 eV/atom
**V**: 192.5 Å³/cell
**DFT total energy**: -5.830 eV/atom
**Density of states at the Fermi level**: 6.61 states/eV per cell

The structure in extended XYZ format:
```
8
Lattice="-2.8920 2.8920 5.7552 2.8920 -2.8920 5.7552 2.8920 2.8920 -5.7552" Properties=species:S:1:pos:R:3 pbc="T T T"
Sm 0.0000 0.0000 2.8070
Sm 0.0000 2.8920 0.0559
Sm 0.0000 0.0000 8.7034
Sm 0.0000 2.8920 5.6993
Cu 0.0000 0.0000 5.7552
Se 2.8920 0.0000 2.8776
S 0.0000 0.0000 0.0000
S 0.0000 2.8920 2.8776
```

***

[2]
Density functional theory data (PBE) for crystalline TcAs2S at its relaxed geometry.

Properties
**ΔE_f (raw)**: 0.36 eV/atom
**V**: 183.3 Å³/cell
**DFT total energy**: -5.587 eV/atom
**Density of states at the Fermi level**: 8.59 states/eV per cell

The structure in extended XYZ format:
```
8
Lattice="-2.8944 2.8944 5.4709 2.8944 -2.8944 5.4709 2.8944 2.8944 -5.4709" Properties=species:S:1:pos:R:3 pbc="T T T"
Tc 0.0000 0.0000 0.0000
Tc 0.0000 2.8944 2.7354
As 4.3416 1.2752 -1.3677
As 1.2752 1.4472 1.3677
As -1.4472 1.6192 4.1032
As 1.6192 1.4472 6.8386
S 2.8944 0.0000 2.7354
S 0.0000 0.0000 5.4709
```

***

[3]
Density functional theory data (PBE) for crystalline YAg2SbSe4 at its relaxed geometry.

Properties
**ΔE_f (raw)**: -0.67 eV/atom
**V**: 195.1 Å³/cell
**DFT total energy**: -4.451 eV/atom
**Density of states at the Fermi level**: 0.20 states/eV per cell

The structure in extended XYZ format:
```
8
Lattice="6.9338 0.0000 0.0000 0.0000 4.1577 0.0000 -2.5144 0.0000 6.7675" Properties=species:S:1:pos:R:3 pbc="T T T"
Y 0.0000 0.0000 0.0000
Ag 2.2097 0.0000 3.3838
Ag 3.4669 2.0788 0.0000
Sb -1.2572 2.0788 3.3838
Se 1.0839 2.0788 1.6898
Se -0.1393 0.0000 5.0874
Se 4.5588 0.0000 1.6801
Se 3.3355 2.0788 5.0777
```

***

[4]
Density functional theory data (PBE) for crystalline K3ErPu3Te8 at its relaxed geometry.

Properties
**ΔE_f (raw)**: -1.12 eV/atom
**V**: 579.8 Å³/cell
**DFT total energy**: -6.185 eV/atom
**Density of states at the Fermi level**: 37.50 states/eV per cell

The structure in extended XYZ format:
```
15
Lattice="4.4862 2.5901 8.3174 -4.4862 2.5901 8.3174 0.0000 -5.1802 8.3174" Properties=species:S:1:pos:R:3 pbc="T T T"
K -2.2431 -1.2950 8.3174
K -2.2431 1.2950 16.6348
K 0.0000 2.5901 8.3174
Er 0.0000 0.0000 12.4761
Pu -4.4862 0.0000 12.4761
Pu -2.2431 1.2950 4.1587
Pu 2.2431 1.2950 4.1587
Te 0.0000 0.0000 5.8869
Te -2.2356 -1.2907 14.1779
Te 0.0000 -2.5814 10.7743
Te -2.2356 1.2907 10.7743
Te 2.2356 -1.2907 14.1779
Te 0.0000 2.5814 14.1779
Te 2.2356 1.2907 10.7743
Te 0.0000 0.0000 19.0653
```

***

[5]
Density functional theory data (PBE) for crystalline Pr2SmDyP4 at its relaxed geometry.

Properties
**V**: 199.5 Å³/cell
**DFT total energy**: -6.612 eV/atom
**Density of states at the Fermi level**: 0.67 states/eV per cell
**E_form**: -1.547 eV per atom

The structure in extended XYZ format:
```
8
Lattice="7.1537 0.0000 0.0000 0.0000 4.1339 0.0000 -2.3829 0.0000 6.7462" Properties=species:S:1:pos:R:3 pbc="T T T"
Pr 0.0000 0.0000 0.0000
Pr -1.1914 2.0669 3.3731
Sm 2.3854 0.0000 3.3731
Dy 3.5769 2.0669 0.0000
P 1.2489 2.0669 1.6854
P 0.0559 0.0000 5.0992
P 4.7149 0.0000 1.6470
P 3.5219 2.0669 5.0608
```

***

[6]
Density functional theory data (PBE) for crystalline La4Dy6Th at its relaxed geometry.

Properties
**V**: 744.1 Å³/cell
**DFT total energy**: -4.845 eV/atom
**Density of states at the Fermi level**: 40.02 states/eV per cell
**E_form**: 0.132 eV per atom

The structure in extended XYZ format:
```
22
Lattice="2.9230 -4.8704 0.0000 2.9230 4.8704 0.0000 0.0000 0.0000 26.1338" Properties=species:S:1:pos:R:3 pbc="T T T"
La 2.9230 4.5185 16.2975
La 2.9230 4.5185 22.9032
La 2.9230 1.5261 14.2436
La 2.9230 1.5261 24.9571
La 2.9230 -1.5261 1.1767
La 2.9230 -1.5261 11.8902
La 2.9230 -4.5185 3.2306
La 2.9230 -4.5185 9.8363
Dy 0.0000 0.0000 0.0000
Dy 0.0000 0.0000 13.0669
Dy 2.9230 4.5204 19.6004
Dy 2.9230 1.8547 2.7036
Dy 2.9230 1.8547 10.3633
Dy 2.9230 1.3035 17.8977
Dy 2.9230 1.3035 21.3030
Dy 2.9230 -1.3035 4.8308
Dy 2.9230 -1.3035 8.2361
Dy 2.9230 -1.8547 15.7705
Dy 2.9230 -1.8547 23.4302
Dy 2.9230 -4.5204 6.5335
Th 2.9230 1.9393 6.5335
Th 2.9230 -1.9393 19.6004
```

***

[7]
Density functional theory data (PBE) for crystalline LiAc2Ni3 at its relaxed geometry.

Properties
**V**: 260.9 Å³/cell
**DFT total energy**: -4.761 eV/atom
**Density of states at the Fermi level**: 5.89 states/eV per cell
**E_form**: -0.182 eV per atom

The structure in extended XYZ format:
```
12
Lattice="0.0000 4.2461 7.3209 4.1966 0.0000 7.3209 4.1966 4.2461 0.0000" Properties=species:S:1:pos:R:3 pbc="T T T"
Li 4.1966 4.2461 2.4096
Li 4.1966 4.2461 12.2323
Ac 2.0983 2.1230 3.6605
Ac 6.2415 4.2461 7.3209
Ac 2.1517 4.2461 7.3209
Ac 6.2949 6.3691 10.9814
Ni 4.1966 2.1938 6.1377
Ni 4.1966 4.2461 4.9354
Ni 4.1966 2.1938 8.5041
Ni 4.1966 6.2983 6.1377
Ni 4.1966 4.2461 9.7064
Ni 4.1966 6.2983 8.5041
```

***

[8]
Density functional theory data (PBE) for crystalline Ag2RhSe at its relaxed geometry.

Properties
**ΔE_f (raw)**: 0.25 eV/atom
**V**: 69.9 Å³/cell
**DFT total energy**: -3.882 eV/atom
**Density of states at the Fermi level**: 4.20 states/eV per cell

The structure in extended XYZ format:
```
4
Lattice="2.8855 0.0000 0.0000 0.0000 4.4320 0.0000 0.0000 0.0000 5.4672" Properties=species:S:1:pos:R:3 pbc="T T T"
Ag 0.0000 0.0000 1.3263
Ag 0.0000 0.0000 4.1410
Rh 1.4428 2.2160 0.0000
Se 1.4428 2.2160 2.7336
```

***

[9]
Density functional theory data (PBE) for crystalline SrTaRu3 at its relaxed geometry.

Properties
**V**: 112.7 Å³/cell
**DFT total energy**: -7.435 eV/atom
**Density of states at the Fermi level**: 6.38 states/eV per cell
**E_form**: 0.838 eV per atom

The structure in extended XYZ format:
```
5
Lattice="4.8297 0.0000 0.0000 0.0000 4.8297 0.0000 0.0000 0.0000 4.8297" Properties=species:S:1:pos:R:3 pbc="T T T"
Sr 0.0000 0.0000 0.0000
Ta 2.4149 2.4149 2.4149
Ru 0.0000 2.4149 2.4149
Ru 2.4149 0.0000 2.4149
Ru 2.4149 2.4149 0.0000
```

***

[10]
Density functional theory data (PBE) for crystalline NiOs2PtW at its relaxed geometry.

Properties
**V**: 96.6 Å³/cell
**DFT total energy**: -7.005 eV/atom
**Density of states at the Fermi level**: 8.79 states/eV per cell
**E_form**: 2.442 eV per atom

The structure in extended XYZ format:
```
5
Lattice="4.6842 0.0000 0.0000 0.0000 4.6842 0.0000 0.0000 0.0000 4.4025" Properties=species:S:1:pos:R:3 pbc="T T T"
Ni 0.0000 0.0000 0.0000
Os 0.0000 2.3421 2.2013
Os 2.3421 0.0000 2.2013
Pt 0.0000 0.0000 2.2013
W 2.3421 2.3421 0.0000
```

***

[11]
Density functional theory data (PBE) for crystalline PmGaSb2 at its relaxed geometry.

Properties
**ΔE_f (raw)**: -0.54 eV/atom
**V**: 216.5 Å³/cell
**DFT total energy**: -4.548 eV/atom
**Density of states at the Fermi level**: 3.73 states/eV per cell

The structure in extended XYZ format:
```
8
Lattice="3.0846 -3.0867 0.0000 3.0846 3.0867 0.0000 -1.2940 0.0000 11.3699" Properties=species:S:1:pos:R:3 pbc="T T T"
Pm 0.0049 0.0000 2.4812
Pm 4.8704 0.0000 8.8887
Ga 2.4376 1.7442 5.6849
Ga 2.4376 -1.7442 5.6849
Sb 1.5423 1.5433 0.0000
Sb 1.7894 0.0000 7.8736
Sb 1.5423 -1.5433 0.0000
Sb 3.0859 0.0000 3.4963
```

***

[12]
Density functional theory data (PBE) for crystalline Tb3Nd5Hg2 at its relaxed geometry.

Properties
**V**: 662.7 Å³/cell
**DFT total energy**: -3.786 eV/atom
**Density of states at the Fermi level**: 31.69 states/eV per cell
**E_form**: 0.048 eV per atom

The structure in extended XYZ format:
```
20
Lattice="-5.8532 8.2204 3.4434 5.8532 -8.2204 3.4434 5.8532 8.2204 -3.4434" Properties=species:S:1:pos:R:3 pbc="T T T"
Tb 2.5997 2.8550 0.0000
Tb 0.0000 0.0000 1.7217
Tb 2.5997 -2.8550 3.4434
Tb 3.2535 11.0755 0.0000
Tb 0.0000 0.0000 5.1651
Tb 3.2535 5.3654 3.4434
Nd 5.8532 -3.1794 1.7217
Nd 8.5483 0.9561 0.0000
Nd 5.8532 0.0000 1.7217
Nd 2.6952 7.2644 0.0000
Nd 5.8532 3.1794 1.7217
Nd 0.0000 5.0411 1.7217
Nd 3.1580 0.9561 3.4434
Nd 0.0000 8.2204 1.7217
Nd -2.6952 7.2644 3.4434
Nd 0.0000 11.3998 1.7217
Hg 5.2432 -5.6562 3.4434
Hg 5.2432 5.6562 0.0000
Hg 0.6099 2.5643 3.4434
Hg 0.6099 13.8766 0.0000
```